Below is crystalline Sc2TlGaAs at its relaxed geometry, with properties calculated at the GGA-PBE level.

Structure (POSCAR):
```
Sc2TlGaAs
1.0
5.1389 0.0000 0.0000
0.0000 4.9027 0.0000
0.0000 0.0000 5.1389
Sc Tl As Ga
2 1 1 1
Cartesian
0.0000 0.0000 2.5695
2.5695 0.0000 0.0000
2.5695 2.4513 2.5695
0.0000 2.4513 0.0000
0.0000 0.0000 0.0000
```

## Properties
* total magnetic moment: 0.000 μB per atom
* final energy: -22.04 eV/cell
* density of states at the Fermi level: 0.81 states/eV per atom

Below is crystalline Sc2GaAsW at its relaxed geometry, with properties calculated at the GGA-PBE level.

Structure (POSCAR):
```
Sc2GaAsW
1.0
5.1594 0.0000 0.0000
0.0000 4.7903 0.0000
0.0000 0.0000 5.1594
Sc As Ga W
2 1 1 1
Cartesian
0.0000 0.0000 2.5797
2.5797 0.0000 0.0000
0.0000 2.3951 0.0000
2.5797 2.3951 2.5797
0.0000 0.0000 0.0000
```

## Properties
* total magnetic moment: 0.000 μB per atom
* density of states at the Fermi level: 1.08 states/eV per atom
* energy relative to the lowest polymorph listed for this composition: 0.000 eV/atom

Below is crystalline Sc2GaAsW at its relaxed geometry, with properties calculated at the GGA-PBE level.

Structure (POSCAR):
```
Sc2GaAsW
1.0
5.0297 0.0000 0.0000
0.0000 4.8689 0.0000
0.0000 0.0000 5.0297
Sc As Ga W
2 1 1 1
Cartesian
0.0000 0.0000 2.5148
2.5148 0.0000 0.0000
2.5148 2.4344 2.5148
0.0000 2.4344 0.0000
0.0000 0.0000 0.0000
```

## Properties
* total magnetic moment: 0.000 μB per atom
* density of states at the Fermi level: 0.85 states/eV per atom
* energy relative to the lowest polymorph listed for this composition: 0.169 eV/atom

Below is crystalline Ga2AsSe at its relaxed geometry, with properties calculated at the GGA-PBE level.

Structure (POSCAR):
```
Ga2AsSe
1.0
4.0027 0.0000 1.2168
1.8164 3.5668 1.2168
-0.0626 -0.0383 7.3978
Ga As Se
2 1 1
Cartesian
-0.0408 -0.0250 7.3263
2.8608 1.7535 4.9733
0.6955 0.4263 4.9041
3.6177 2.2175 2.4833
```

## Properties
* total magnetic moment: 0.000 μB per atom
* density of states at the Fermi level: 0.25 states/eV per atom
* energy relative to the lowest polymorph listed for this composition: 0.000 eV/atom

Below is crystalline GaAsSe at its relaxed geometry, with properties calculated at the GGA-PBE level.

Structure (POSCAR):
```
GaAsSe
1.0
-3.1324 -1.1586 2.0282
-0.0365 -3.5617 -2.0910
4.8670 -3.3420 5.6076
Ga As Se
2 2 2
Cartesian
3.2843 -2.4861 3.6522
-0.0065 -3.6745 1.6549
4.7463 -6.7132 3.4954
-1.4976 -2.2871 0.1445
1.7791 -4.5890 0.1262
1.4714 -4.2391 3.6148
```

## Properties
* total magnetic moment: 0.000 μB per atom
* density of states at the Fermi level: 0.33 states/eV per atom
* energy relative to the lowest polymorph listed for this composition: 0.000 eV/atom

Below is crystalline GaAs2Se at its relaxed geometry, with properties calculated at the GGA-PBE level.

Structure (POSCAR):
```
GaAs2Se
1.0
0.0000 3.4043 3.4043
3.4043 0.0000 3.4043
3.4043 3.4043 0.0000
As Ga Se
2 1 1
Cartesian
1.7022 1.7022 1.7022
5.1065 5.1065 5.1065
0.0000 0.0000 0.0000
3.4043 3.4043 3.4043
```

## Properties
* total magnetic moment: 0.000 μB per atom
* density of states at the Fermi level: 0.68 states/eV per atom
* energy relative to the lowest polymorph listed for this composition: 0.215 eV/atom